A relaxed NaBF6 crystal. Source: Alexandria via LeMat-Bulk, functional GGA-PBE.

Lattice parameters (Å, degrees): 5.4996 5.4996 5.4996 60.00 60.00 60.00
Atoms (fractional coordinates):
1 Na 0.0000 0.0000 0.0000
2 B 0.5000 0.5000 0.5000
3 F 0.2961 0.2961 0.7039
4 F 0.2961 0.7039 0.2961
5 F 0.2961 0.7039 0.7039
6 F 0.7039 0.2961 0.2961
7 F 0.7039 0.2961 0.7039
8 F 0.7039 0.7039 0.2961

VASP energy (eV/atom): -4.154
Symmetry: Fm-3m

---

A relaxed LaY6Tm2Th3 crystal. Source: Alexandria via LeMat-Bulk, functional GGA-PBE.

Lattice parameters (Å, degrees): 6.2055 6.2055 11.7952 95.03 95.03 120.01
Atoms (fractional coordinates):
1 La 0.0000 0.0000 0.0000
2 Y 0.0854 0.4201 0.2549
3 Y 0.2497 0.2497 0.7452
4 Y 0.4201 0.0854 0.2549
5 Y 0.5799 0.9146 0.7451
6 Y 0.7503 0.7503 0.2548
7 Y 0.9146 0.5799 0.7451
8 Tm 0.3331 0.6669 0.0000
9 Tm 0.6669 0.3331 0.0000
10 Th 0.1663 0.8337 0.5000
11 Th 0.5000 0.5000 0.5000
12 Th 0.8337 0.1663 0.5000

E_form (eV per atom): 0.03
Symmetry: C2/m

---

| no. | V (Å³ per cell) |
| --- | --- |
| 1 | 117.6 |
| 2 | 387.2 |